A relaxed structure of FeSiBC, computed with PBE-GGA.

Raw total energy ... -7.070 eV/atom
Volume ... 10.6 Å³ per atom
M_tot ... 0.94 μB per formula unit
Crystal system ... monoclinic
Raw formation energy ... 377 meV per atom

abc: 3.6629 2.8935 4.2226
angles: 90.00 109.43 90.00
Closest atoms and distances in Å follow each position.
Fractional coordinates of all 4 atoms:
Fe1 0.0000 0.0000 0.0000  2 B 2.01, 2 C 2.05, 1 Si 2.23
Si1 0.3946 0.0000 0.6425  2 C 1.94
B1 0.9533 0.5000 0.6567  1 C 1.53
C1 0.1062 0.5000 0.3619  1 B 1.53